VASP calculation (PBE-GGA) on crystalline Ni3AsPt at its relaxed geometry.

Unit cell a=4.2703 b=4.2703 c=4.2703 alpha=90.00 beta=90.00 gamma=90.00
Space group Pm-3m (No. 221)
Inequivalent atoms, fractional coordinates:
Ni1 0.0000 0.0000 0.5000 [3 per cell]
As1 0.0000 0.0000 0.0000 [1 per cell]
Pt1 0.5000 0.5000 0.5000 [1 per cell]

Properties
Calculated formation energy in eV per atom: 0.546
Energy above the lowest structure with this stoichiometry in eV/atom: 0.0000



VASP calculation (PBE-GGA) on crystalline SmEuMgGa at its relaxed geometry.

Unit cell a=7.5704 b=7.5704 c=7.5704 alpha=90.00 beta=90.00 gamma=90.00
Space group F-43m (No. 216)
Inequivalent atoms, fractional coordinates:
Sm1 0.0000 0.0000 0.0000 [4 per cell]
Eu1 0.0000 0.0000 0.5000 [4 per cell]
Mg1 0.2500 0.2500 0.7500 [4 per cell]
Ga1 0.2500 0.2500 0.2500 [4 per cell]

Properties
Calculated formation energy in eV per atom: -0.285



VASP calculation (PBE-GGA) on crystalline NaPmPrGa at its relaxed geometry.

Unit cell a=7.6163 b=7.6163 c=7.6163 alpha=90.00 beta=90.00 gamma=90.00
Space group F-43m (No. 216)
Inequivalent atoms, fractional coordinates:
Na1 0.0000 0.0000 0.0000 [4 per cell]
Pm1 0.2500 0.2500 0.2500 [4 per cell]
Pr1 0.2500 0.2500 0.7500 [4 per cell]
Ga1 0.0000 0.0000 0.5000 [4 per cell]

Properties
Calculated formation energy in eV per atom: -0.147



VASP calculation (PBE-GGA) on crystalline Sr3SiH at its relaxed geometry.

Unit cell a=7.7688 b=4.5074 c=8.8790 alpha=90.00 beta=101.75 gamma=90.00
Space group P2_1/m (No. 11)
Inequivalent atoms, fractional coordinates:
Sr1 0.0868 0.2500 0.3349 [2 per cell]
Sr2 0.2574 0.2500 0.9614 [2 per cell]
Sr3 0.4087 0.7500 0.6437 [2 per cell]
Si1 0.3189 0.7500 0.2282 [2 per cell]
H1 0.1420 0.2500 0.6329 [2 per cell]

Properties
Energy above the lowest structure with this stoichiometry in eV/atom: 0.0000



Number 1: ρ 9.5 g cm⁻³. Number 2: ρ 6.1 g cm⁻³. Number 3: ρ 5.7 g cm⁻³. Number 4: ρ 3.2 g cm⁻³.